(1)
## Tm12GaCu6 (GGA-PBE)

Data for a geometry-optimized Tm12GaCu6 structure.

It has space group Im-3 (No. 204), with a = 9.647 Å, b = 9.647 Å, c = 9.647 Å, α = 90.00°, β = 90.00° and γ = 90.00°. Symmetry generates all atoms from Tm at (0.000, 0.188, 0.294), Ga at (0.000, 0.000, 0.000) and Cu at (0.000, 0.374, 0.500).

The calculated total energy is -171.09 eV per cell.

***

(2)
## TmGa3Cu3 (GGA-PBE)

Data for a geometry-optimized TmGa3Cu3 structure.

It has space group P2_1/m (No. 11), with a = 6.808 Å, b = 4.192 Å, c = 8.357 Å, α = 90.00°, β = 109.72° and γ = 90.00°. Symmetry generates all atoms from Tm at (0.105, 0.250, 0.357), Ga at (0.027, 0.250, 0.916), Ga at (0.318, 0.750, 0.604), Ga at (0.388, 0.750, 0.301), Cu at (0.267, 0.750, 0.956), Cu at (0.286, 0.250, 0.769) and Cu at (0.411, 0.250, 0.117).

The calculation puts the excess energy over the best structure of this formula in the dataset at 0.0 kJ/mol of atoms. The calculated total energy is -55.45 eV per cell.

***

(3)
## Tm2GaCu9 (GGA-PBE)

Data for a geometry-optimized Tm2GaCu9 structure.

It has space group R-3m (No. 166, hexagonal axes), with a = 5.0641 Å, b = 5.0641 Å, c = 24.4671 Å, α = 90.00°, β = 90.00° and γ = 120.00°. Symmetry generates all atoms from Tm at (0.0000, 0.0000, 0.1351), Ga at (0.0000, 0.0000, 0.0000), Cu at (0.0000, 0.0000, 0.3331), Cu at (0.0000, 0.0000, 0.5000) and Cu at (0.0031, 0.5016, 0.9173).

The calculated total energy is -150.17 eV per cell.

***

(4)
## Tm4GaCu (GGA-PBE)

Data for a geometry-optimized Tm4GaCu structure.

It has space group P2_1/c (No. 14), with a = 6.970 Å, b = 6.931 Å, c = 6.742 Å, α = 90.00°, β = 92.71° and γ = 90.00°. Symmetry generates all atoms from Tm at (0.154, 0.160, 0.169), Tm at (0.332, 0.654, 0.134), Ga at (0.500, 0.000, 0.000) and Cu at (0.000, 0.000, 0.500).

The calculated total energy is -51.27 eV per cell.

***

(5)
## Tm3GaCu2 (GGA-PBE)

Data for a geometry-optimized Tm3GaCu2 structure.

It has space group P-3m1 (No. 164), with a = 4.8928 Å, b = 4.8928 Å, c = 11.9974 Å, α = 90.00°, β = 90.00° and γ = 120.00°. Symmetry generates all atoms from Tm at (0.0000, 0.0000, 0.2434), Tm at (0.3333, 0.6667, 0.4162), Tm at (0.3333, 0.6667, 0.9220), Ga at (0.3333, 0.6667, 0.6683), Cu at (0.0000, 0.0000, 0.0000), Cu at (0.0000, 0.0000, 0.5000) and Cu at (0.3333, 0.6667, 0.1685).

The calculated total energy is -53.92 eV per cell.

***

(6)
## Tm2GaCu7 (GGA-PBE)

Data for a geometry-optimized Tm2GaCu7 structure.

It has space group P-4m2 (No. 115), with a = 3.784 Å, b = 3.784 Å, c = 11.153 Å, α = 90.00°, β = 90.00° and γ = 90.00°. Symmetry generates all atoms from Tm at (0.000, 0.500, 0.246), Ga at (0.000, 0.000, 0.500), Cu at (0.000, 0.000, 0.000), Cu at (0.000, 0.500, 0.647), Cu at (0.000, 0.500, 0.861), Cu at (0.500, 0.500, 0.000) and Cu at (0.500, 0.500, 0.500).

The calculated total energy is -42.63 eV per cell.

***

(7)
## Tm2Ga5Cu (GGA-PBE)

Data for a geometry-optimized Tm2Ga5Cu structure.

It has space group I4mm (No. 107), with a = 5.904 Å, b = 5.904 Å, c = 8.512 Å, α = 90.00°, β = 90.00° and γ = 90.00°. Symmetry generates all atoms from Tm at (0.000, 0.500, 0.000), Ga at (0.000, 0.000, 0.480), Ga at (0.239, 0.239, 0.750) and Cu at (0.000, 0.000, 0.070).

The calculated total energy is -63.52 eV per cell.

***

(8)
## TmGa2Cu (GGA-PBE)

Data for a geometry-optimized TmGa2Cu structure.

It has space group P2_1/m (No. 11), with a = 4.630 Å, b = 4.215 Å, c = 7.764 Å, α = 90.00°, β = 101.93° and γ = 90.00°. Symmetry generates all atoms from Tm at (0.057, 0.250, 0.192), Ga at (0.338, 0.750, 0.474), Ga at (0.485, 0.250, 0.903) and Cu at (0.180, 0.250, 0.606).

The calculated total energy is -32.57 eV per cell.